[1]
# Ac6La5Y2, relaxed, DFT PBE
# calculated density	7.03	g cm⁻³
# formation energy from the elements	0.1254	eV/atom
data_Ac6La5Y2
_chemical_formula_sum 'Ac12 La10 Y4'
_space_group_name_H-M_alt 'P 1'
_space_group_IT_number 1
_cell_length_a 11.540
_cell_length_b 24.158
_cell_length_c 3.786
_cell_angle_alpha 90.00
_cell_angle_beta 90.00
_cell_angle_gamma 90.00
loop_
_space_group_symop_operation_xyz
'x,y,z'
loop_
_atom_site_label
_atom_site_type_symbol
_atom_site_fract_x
_atom_site_fract_y
_atom_site_fract_z
Ac1 Ac 0.024 0.113 0.000
Ac2 Ac 0.143 0.384 0.000
Ac3 Ac 0.165 0.635 0.500
Ac4 Ac 0.335 0.135 0.500
Ac5 Ac 0.357 0.884 0.000
Ac6 Ac 0.476 0.613 0.000
Ac7 Ac 0.524 0.387 0.000
Ac8 Ac 0.643 0.116 0.000
Ac9 Ac 0.665 0.865 0.500
Ac10 Ac 0.835 0.365 0.500
Ac11 Ac 0.857 0.616 0.000
Ac12 Ac 0.976 0.887 0.000
La1 La 0.000 0.500 0.500
La2 La 0.085 0.248 0.500
La3 La 0.165 0.995 0.500
La4 La 0.335 0.495 0.500
La5 La 0.415 0.748 0.500
La6 La 0.500 0.000 0.500
La7 La 0.585 0.252 0.500
La8 La 0.665 0.505 0.500
La9 La 0.835 0.005 0.500
La10 La 0.915 0.752 0.500
Y1 Y 0.165 0.768 0.000
Y2 Y 0.335 0.268 0.000
Y3 Y 0.665 0.732 0.000
Y4 Y 0.835 0.232 0.000

[2]
# Ac9La2Y, relaxed, DFT PBE
# calculated density	7.86	g cm⁻³
# formation energy from the elements	0.0207	eV/atom
data_Ac9La2Y
_chemical_formula_sum 'Ac9 La2 Y1'
_space_group_name_H-M_alt 'P 1'
_space_group_IT_number 1
_cell_length_a 5.535
_cell_length_b 5.535
_cell_length_c 16.627
_cell_angle_alpha 90.00
_cell_angle_beta 90.00
_cell_angle_gamma 90.00
loop_
_space_group_symop_operation_xyz
'x,y,z'
loop_
_atom_site_label
_atom_site_type_symbol
_atom_site_fract_x
_atom_site_fract_y
_atom_site_fract_z
Ac1 Ac 0.000 0.000 0.000
Ac2 Ac 0.000 0.000 0.332
Ac3 Ac 0.000 0.000 0.668
Ac4 Ac 0.000 0.500 0.165
Ac5 Ac 0.000 0.500 0.500
Ac6 Ac 0.000 0.500 0.835
Ac7 Ac 0.500 0.000 0.165
Ac8 Ac 0.500 0.000 0.500
Ac9 Ac 0.500 0.000 0.835
La1 La 0.500 0.500 0.332
La2 La 0.500 0.500 0.668
Y1 Y 0.500 0.500 0.000

[3]
# Ac12La5Y2, relaxed, DFT PBE
# distance to the lowest polymorph of the same formula	74	meV/atom
# calculated density	7.44	g cm⁻³
# formation energy from the elements	0.1778	eV/atom
data_Ac12La5Y2
_chemical_formula_sum 'Ac12 La5 Y2'
_space_group_name_H-M_alt 'P 1'
_space_group_IT_number 1
_cell_length_a 10.635
_cell_length_b 10.635
_cell_length_c 11.057
_cell_angle_alpha 106.65
_cell_angle_beta 106.65
_cell_angle_gamma 42.44
loop_
_space_group_symop_operation_xyz
'x,y,z'
loop_
_atom_site_label
_atom_site_type_symbol
_atom_site_fract_x
_atom_site_fract_y
_atom_site_fract_z
Ac1 Ac 0.001 0.001 0.179
Ac2 Ac 0.086 0.585 0.962
Ac3 Ac 0.098 0.585 0.611
Ac4 Ac 0.415 0.902 0.389
Ac5 Ac 0.415 0.914 0.038
Ac6 Ac 0.469 0.469 0.264
Ac7 Ac 0.531 0.531 0.736
Ac8 Ac 0.585 0.086 0.962
Ac9 Ac 0.585 0.098 0.611
Ac10 Ac 0.902 0.415 0.389
Ac11 Ac 0.914 0.415 0.038
Ac12 Ac 0.999 0.999 0.821
La1 La 0.168 0.168 0.718
La2 La 0.303 0.303 0.290
La3 La 0.500 0.500 0.000
La4 La 0.697 0.697 0.710
La5 La 0.832 0.832 0.282
Y1 Y 0.206 0.794 0.500
Y2 Y 0.794 0.206 0.500

[4]
# Ac5La2Y6, relaxed, DFT PBE
# calculated density	6.50	g cm⁻³
# formation energy from the elements	0.1002	eV/atom
data_Ac5La2Y6
_chemical_formula_sum 'Ac10 La4 Y12'
_space_group_name_H-M_alt 'P 1'
_space_group_IT_number 1
_cell_length_a 12.109
_cell_length_b 21.722
_cell_length_c 3.779
_cell_angle_alpha 90.00
_cell_angle_beta 90.00
_cell_angle_gamma 90.00
loop_
_space_group_symop_operation_xyz
'x,y,z'
loop_
_atom_site_label
_atom_site_type_symbol
_atom_site_fract_x
_atom_site_fract_y
_atom_site_fract_z
Ac1 Ac 0.000 0.000 0.000
Ac2 Ac 0.049 0.293 0.000
Ac3 Ac 0.196 0.574 0.000
Ac4 Ac 0.304 0.074 0.000
Ac5 Ac 0.451 0.793 0.000
Ac6 Ac 0.500 0.500 0.000
Ac7 Ac 0.549 0.207 0.000
Ac8 Ac 0.696 0.926 0.000
Ac9 Ac 0.804 0.426 0.000
Ac10 Ac 0.951 0.707 0.000
La1 La 0.208 0.736 0.500
La2 La 0.292 0.236 0.500
La3 La 0.708 0.764 0.500
La4 La 0.792 0.264 0.500
Y1 Y 0.048 0.146 0.500
Y2 Y 0.079 0.437 0.500
Y3 Y 0.197 0.878 0.000
Y4 Y 0.303 0.378 0.000
Y5 Y 0.421 0.937 0.500
Y6 Y 0.452 0.646 0.500
Y7 Y 0.548 0.354 0.500
Y8 Y 0.579 0.063 0.500
Y9 Y 0.697 0.622 0.000
Y10 Y 0.803 0.122 0.000
Y11 Y 0.921 0.563 0.500
Y12 Y 0.952 0.854 0.500

[5]
# AcLa3Y3, relaxed, DFT PBE
# distance to the lowest polymorph of the same formula	119	meV/atom
# calculated density	5.83	g cm⁻³
# formation energy from the elements	0.1570	eV/atom
data_AcLa3Y3
_chemical_formula_sum 'Ac4 La12 Y12'
_space_group_name_H-M_alt 'P 1'
_space_group_IT_number 1
_cell_length_a 11.694
_cell_length_b 11.694
_cell_length_c 7.601
_cell_angle_alpha 91.95
_cell_angle_beta 91.95
_cell_angle_gamma 89.41
loop_
_space_group_symop_operation_xyz
'x,y,z'
loop_
_atom_site_label
_atom_site_type_symbol
_atom_site_fract_x
_atom_site_fract_y
_atom_site_fract_z
Ac1 Ac 0.000 0.000 0.000
Ac2 Ac 0.462 0.703 0.718
Ac3 Ac 0.703 0.462 0.718
Ac4 Ac 0.792 0.792 0.728
La1 La 0.194 0.732 0.970
La2 La 0.207 0.207 0.484
La3 La 0.240 0.488 0.280
La4 La 0.274 0.978 0.756
La5 La 0.458 0.458 0.054
La6 La 0.488 0.240 0.280
La7 La 0.538 0.982 0.541
La8 La 0.732 0.194 0.970
La9 La 0.733 0.918 0.234
La10 La 0.918 0.733 0.234
La11 La 0.978 0.274 0.756
La12 La 0.982 0.538 0.541
Y1 Y 0.187 0.749 0.486
Y2 Y 0.235 0.235 0.010
Y3 Y 0.240 0.468 0.740
Y4 Y 0.280 0.969 0.246
Y5 Y 0.468 0.240 0.740
Y6 Y 0.483 0.733 0.234
Y7 Y 0.517 0.985 0.987
Y8 Y 0.733 0.483 0.234
Y9 Y 0.749 0.187 0.486
Y10 Y 0.969 0.280 0.246
Y11 Y 0.985 0.517 0.987
Y12 Y 0.995 0.995 0.485

[6]
# AcLa7Y12, relaxed, DFT PBE
# calculated density	5.01	g cm⁻³
# formation energy from the elements	0.5711	eV/atom
data_AcLa7Y12
_chemical_formula_sum 'Ac1 La7 Y12'
_space_group_name_H-M_alt 'P 1'
_space_group_IT_number 1
_cell_length_a 9.919
_cell_length_b 9.919
_cell_length_c 9.919
_cell_angle_alpha 109.47
_cell_angle_beta 109.47
_cell_angle_gamma 109.47
loop_
_space_group_symop_operation_xyz
'x,y,z'
loop_
_atom_site_label
_atom_site_type_symbol
_atom_site_fract_x
_atom_site_fract_y
_atom_site_fract_z
Ac1 Ac 0.000 0.000 0.000
La1 La 0.000 0.000 0.500
La2 La 0.000 0.500 0.000
La3 La 0.000 0.500 0.500
La4 La 0.500 0.000 0.000
La5 La 0.500 0.000 0.500
La6 La 0.500 0.500 0.000
La7 La 0.500 0.500 0.500
Y1 Y 0.000 0.252 0.748
Y2 Y 0.000 0.748 0.252
Y3 Y 0.252 0.000 0.748
Y4 Y 0.252 0.252 0.504
Y5 Y 0.252 0.504 0.252
Y6 Y 0.252 0.748 0.000
Y7 Y 0.496 0.748 0.748
Y8 Y 0.504 0.252 0.252
Y9 Y 0.748 0.000 0.252
Y10 Y 0.748 0.252 0.000
Y11 Y 0.748 0.496 0.748
Y12 Y 0.748 0.748 0.496

[7]
# AcLa3Y6, relaxed, DFT PBE
# distance to the lowest polymorph of the same formula	0	meV/atom
# calculated density	5.54	g cm⁻³
# formation energy from the elements	0.1290	eV/atom
data_AcLa3Y6
_chemical_formula_sum 'Ac2 La6 Y12'
_space_group_name_H-M_alt 'P 1'
_space_group_IT_number 1
_cell_length_a 9.316
_cell_length_b 9.316
_cell_length_c 9.118
_cell_angle_alpha 90.00
_cell_angle_beta 90.00
_cell_angle_gamma 116.95
loop_
_space_group_symop_operation_xyz
'x,y,z'
loop_
_atom_site_label
_atom_site_type_symbol
_atom_site_fract_x
_atom_site_fract_y
_atom_site_fract_z
Ac1 Ac 0.224 0.776 0.500
Ac2 Ac 0.776 0.224 0.000
La1 La 0.048 0.952 0.738
La2 La 0.193 0.314 0.914
La3 La 0.314 0.193 0.414
La4 La 0.686 0.807 0.914
La5 La 0.807 0.686 0.414
La6 La 0.952 0.048 0.238
Y1 Y 0.028 0.324 0.590
Y2 Y 0.179 0.472 0.245
Y3 Y 0.287 0.713 0.873
Y4 Y 0.324 0.028 0.090
Y5 Y 0.450 0.550 0.601
Y6 Y 0.472 0.179 0.745
Y7 Y 0.528 0.821 0.245
Y8 Y 0.550 0.450 0.101
Y9 Y 0.676 0.972 0.590
Y10 Y 0.713 0.287 0.373
Y11 Y 0.821 0.528 0.745
Y12 Y 0.972 0.676 0.090

[8]
# AcLaY4, relaxed, DFT PBE
# distance to the lowest polymorph of the same formula	104	meV/atom
# calculated density	5.53	g cm⁻³
# formation energy from the elements	0.1414	eV/atom
data_AcLaY4
_chemical_formula_sum 'Ac2 La2 Y8'
_space_group_name_H-M_alt 'P 1'
_space_group_IT_number 1
_cell_length_a 8.834
_cell_length_b 8.834
_cell_length_c 6.650
_cell_angle_alpha 99.69
_cell_angle_beta 99.69
_cell_angle_gamma 118.02
loop_
_space_group_symop_operation_xyz
'x,y,z'
loop_
_atom_site_label
_atom_site_type_symbol
_atom_site_fract_x
_atom_site_fract_y
_atom_site_fract_z
Ac1 Ac 0.083 0.917 0.750
Ac2 Ac 0.917 0.083 0.250
La1 La 0.493 0.507 0.250
La2 La 0.507 0.493 0.750
Y1 Y 0.066 0.345 0.878
Y2 Y 0.215 0.602 0.470
Y3 Y 0.345 0.066 0.378
Y4 Y 0.398 0.785 0.030
Y5 Y 0.602 0.215 0.970
Y6 Y 0.655 0.934 0.622
Y7 Y 0.785 0.398 0.530
Y8 Y 0.934 0.655 0.122

What is the formula in the fourth record?
Ac5La2Y6

formation energy from the elements of number 5 (AcLa3Y3)?
0.1570 eV/atom

Look up the calculated density of the eighth one.
5.53 g cm⁻³

Which formula does entry 7 have?
AcLa3Y6